# NaAsIBr2 PBE optimized geometry
data_NaAsIBr2
_chemical_formula_sum 'Na1 As1 I1 Br2'
_cell_length_a 5.086
_cell_length_b 5.086
_cell_length_c 8.030
_cell_angle_alpha 90.00
_cell_angle_beta 90.00
_cell_angle_gamma 90.00
_space_group_name_H-M_alt 'P 4/m m m'
_space_group_IT_number 123
_space_group_name_Hall '-P 4 2'
loop_
_atom_site_label
_atom_site_fract_x
_atom_site_fract_y
_atom_site_fract_z
Na1 0.000 0.000 0.000
As1 0.000 0.000 0.500
I1 0.500 0.500 0.500
Br1 0.000 0.500 0.000
# E_tot: -2.0122 eV/atom
# energy above the most stable polymorph in this dataset: 0.075 eV/atom
# density of states at the Fermi level: 3.476 states/eV per cell
# formation energy (no corrections): 161 meV/atom